# LaSnN2O

LaSnN2O after structural relaxation (GGA-PBE, Alexandria).

The structure in POSCAR format:
```
LaSnN2O
1.0
-2.838 2.933 0.578
0.299 -0.514 4.079
3.024 2.897 0.144
N Sn O La
2 1 1 1
direct
0.000 0.500 0.000 N
0.500 0.000 0.000 N
0.000 0.000 0.000 Sn
0.000 0.000 0.500 O
0.500 0.500 0.500 La
```

## Properties
Density of states at the Fermi level in states/eV/atom: 0.705

---

# SrLaN2O

SrLaN2O after structural relaxation (GGA-PBE, Alexandria).

The structure in POSCAR format:
```
SrLaN2O
1.0
4.394 0.000 0.000
0.000 4.394 0.000
0.000 0.000 4.598
Sr N O La
1 2 1 1
direct
0.500 0.500 0.500 Sr
0.000 0.500 0.000 N
0.500 0.000 0.000 N
0.000 0.000 0.500 O
0.000 0.000 0.000 La
```

## Properties
Density of states at the Fermi level in states/eV/atom: 0.920

---

# SrLaNO2

SrLaNO2 after structural relaxation (GGA-PBE, Alexandria).

The structure in POSCAR format:
```
SrLaNO2
1.0
-3.521 2.193 1.588
-2.706 -2.766 -2.181
-0.087 -2.663 3.484
Sr N O La
1 1 2 1
direct
0.000 0.000 0.000 Sr
0.000 0.000 0.500 N
0.000 0.500 0.000 O
0.500 0.000 0.000 O
0.500 0.500 0.500 La
```

## Properties
Density of states at the Fermi level in states/eV/atom: 0.476

---

# SrLaN2O

SrLaN2O after structural relaxation (GGA-PBE, Alexandria).

The structure in POSCAR format:
```
SrLaN2O
1.0
4.347 0.000 0.000
0.000 4.347 0.000
0.000 0.000 4.531
Sr N O La
1 2 1 1
direct
0.000 0.000 0.000 Sr
0.000 0.500 0.000 N
0.500 0.000 0.000 N
0.000 0.000 0.500 O
0.500 0.500 0.500 La
```

## Properties
Density of states at the Fermi level in states/eV/atom: 1.041

---

# SrLaNO2

SrLaNO2 after structural relaxation (GGA-PBE, Alexandria).

The structure in POSCAR format:
```
SrLaNO2
1.0
4.549 0.000 0.000
0.000 4.549 0.000
0.000 0.000 4.432
Sr N O La
1 1 2 1
direct
0.500 0.500 0.500 Sr
0.000 0.000 0.500 N
0.000 0.500 0.000 O
0.500 0.000 0.000 O
0.000 0.000 0.000 La
```

## Properties
Density of states at the Fermi level in states/eV/atom: 0.591

---

# SrLaTa2N3O3

SrLaTa2N3O3 after structural relaxation (GGA-PBE, Alexandria).

The structure in POSCAR format:
```
SrLaTa2N3O3
1.0
5.690 -0.006 0.003
0.104 5.699 0.002
0.011 0.006 8.304
Sr La Ta N O
2 2 4 6 6
direct
0.005 0.016 0.753 Sr
0.504 0.487 0.256 Sr
0.510 0.526 0.757 La
0.013 0.986 0.255 La
0.997 0.492 0.012 Ta
0.010 0.513 0.512 Ta
0.499 0.996 0.511 Ta
0.511 0.010 0.011 Ta
0.941 0.503 0.744 N
0.790 0.205 0.014 N
0.531 0.977 0.745 N
0.443 0.017 0.244 N
0.216 0.785 0.509 N
0.031 0.494 0.245 N
0.799 0.197 0.472 O
0.699 0.705 0.017 O
0.712 0.709 0.472 O
0.291 0.296 0.964 O
0.300 0.296 0.526 O
0.200 0.791 0.981 O
```

---

Number 1: ΔE_f (raw) -0.725 eV per atom. Number 2: ΔE_f (raw) -0.584 eV per atom. Number 3: ΔE_f (raw) -0.923 eV per atom. Number 4: ΔE_f (raw) -0.033 eV per atom. Number 5: ΔE_f (raw) -1.489 eV per atom. Number 6: ΔE_f (raw) -2.155 eV per atom.